Tl2PbAu: relaxed, GGA-PBE.

```
data_Tl2PbAu
_chemical_formula_sum 'Tl2 Pb1 Au1'
_cell_length_a 3.7300
_cell_length_b 4.7760
_cell_length_c 6.4643
_cell_angle_alpha 90.00
_cell_angle_beta 103.88
_cell_angle_gamma 90.00
_space_group_name_H-M_alt 'P 1 2/m 1'
_space_group_IT_number 10
loop_
_space_group_symop_operation_xyz
'x,y,z'
'-x,-y,-z'
'-x,y,-z'
'x,-y,z'
loop_
_atom_site_label
_atom_site_type_symbol
_atom_site_fract_x
_atom_site_fract_y
_atom_site_fract_z
Tl1 Tl 0.1015 0.0000 0.2700
Pb1 Pb 0.5000 0.5000 0.0000
Au1 Au 0.5000 0.5000 0.5000
```

Results
- spin magnetization (Bohr magnetons per cell) = 0.00
- ΔH_f (0 K) (meV/atom) = 49
- calculated volume (Å³ per atom) = 27.9

---

Re2AgGe2: relaxed, GGA-PBE.

```
data_Re2AgGe2
_chemical_formula_sum 'Re4 Ag2 Ge4'
_cell_length_a 7.2384
_cell_length_b 7.2384
_cell_length_c 3.0645
_cell_angle_alpha 90.00
_cell_angle_beta 90.00
_cell_angle_gamma 90.00
_space_group_name_H-M_alt 'P 4/m b m'
_space_group_IT_number 127
_space_group_name_Hall '-P 4 2ab'
loop_
_atom_site_label
_atom_site_type_symbol
_atom_site_fract_x
_atom_site_fract_y
_atom_site_fract_z
Re1 Re 0.1367 0.3633 0.0000
Ag1 Ag 0.0000 0.0000 0.0000
Ge1 Ge 0.1568 0.6568 0.5000
```

Results
- spin magnetization (Bohr magnetons per cell) = 0.00
- ΔH_f (0 K) (meV/atom) = 365
- calculated volume (Å³ per atom) = 16.1

---

MgTlF3: relaxed, GGA-PBE.

```
data_MgTlF3
_chemical_formula_sum 'Mg4 Tl4 F12'
_cell_length_a 6.4923
_cell_length_b 6.8835
_cell_length_c 7.0886
_cell_angle_alpha 90.00
_cell_angle_beta 90.00
_cell_angle_gamma 90.00
_space_group_name_H-M_alt 'P n m a'
_space_group_IT_number 62
loop_
_space_group_symop_operation_xyz
'x,y,z'
'-x,-y,-z'
'-x+1/2,-y,z+1/2'
'x+1/2,y,-z+1/2'
'x+1/2,-y+1/2,-z+1/2'
'-x+1/2,y+1/2,z+1/2'
'-x,y+1/2,-z'
'x,-y+1/2,z'
loop_
_atom_site_label
_atom_site_type_symbol
_atom_site_fract_x
_atom_site_fract_y
_atom_site_fract_z
Mg1 Mg 0.0039 0.2500 0.0639
Tl1 Tl 0.0000 0.0000 0.5000
F1 F 0.0897 0.5588 0.1347
F2 F 0.2225 0.7500 0.7496
```

Results
- spin magnetization (Bohr magnetons per cell) = 0.00
- formation energy from raw total energies (kJ/mol of formula units) = -1249
- calculated volume (Å³ per atom) = 15.8

---

Cd4In3Ga4: relaxed, GGA-PBE.

```
data_Cd4In3Ga4
_chemical_formula_sum 'Cd8 In6 Ga8'
_cell_length_a 15.4352
_cell_length_b 7.0288
_cell_length_c 4.8999
_cell_angle_alpha 90.00
_cell_angle_beta 103.64
_cell_angle_gamma 90.00
_space_group_name_H-M_alt 'C 1 2/m 1'
_space_group_IT_number 12
loop_
_space_group_symop_operation_xyz
'x,y,z'
'-x,-y,-z'
'-x,y,-z'
'x,-y,z'
'x+1/2,y+1/2,z'
'-x+1/2,-y+1/2,-z'
'-x+1/2,y+1/2,-z'
'x+1/2,-y+1/2,z'
loop_
_atom_site_label
_atom_site_type_symbol
_atom_site_fract_x
_atom_site_fract_y
_atom_site_fract_z
Cd1 Cd 0.0000 0.2221 0.0000
Cd2 Cd 0.2101 0.5000 0.8459
In1 In 0.0000 0.5000 0.5000
In2 In 0.1132 0.0000 0.6482
Ga1 Ga 0.1729 0.3011 0.3108
```

Results
- spin magnetization (Bohr magnetons per cell) = 0.00
- ΔH_f (0 K) (meV/atom) = 56
- calculated volume (Å³ per atom) = 23.5

---

Pa2ZnGa2Ru5: relaxed, GGA-PBE.

```
data_Pa2ZnGa2Ru5
_chemical_formula_sum 'Pa4 Zn2 Ga4 Ru10'
_cell_length_a 9.7871
_cell_length_b 9.7871
_cell_length_c 3.5261
_cell_angle_alpha 90.00
_cell_angle_beta 90.00
_cell_angle_gamma 90.00
_space_group_name_H-M_alt 'P 4/m b m'
_space_group_IT_number 127
_space_group_name_Hall '-P 4 2ab'
loop_
_atom_site_label
_atom_site_type_symbol
_atom_site_fract_x
_atom_site_fract_y
_atom_site_fract_z
Pa1 Pa 0.1749 0.3251 0.0000
Zn1 Zn 0.0000 0.0000 0.0000
Ga1 Ga 0.1252 0.6252 0.0000
Ru1 Ru 0.0000 0.5000 0.5000
Ru2 Ru 0.0897 0.8053 0.5000
```

Results
- spin magnetization (Bohr magnetons per cell) = 0.00
- ΔH_f (0 K) (meV/atom) = -323
- calculated volume (Å³ per atom) = 16.9

---

LiPmSi2Au2: relaxed, GGA-PBE.

```
data_LiPmSi2Au2
_chemical_formula_sum 'Li1 Pm1 Si2 Au2'
_cell_length_a 4.3191
_cell_length_b 4.3191
_cell_length_c 6.8668
_cell_angle_alpha 90.00
_cell_angle_beta 90.00
_cell_angle_gamma 120.00
_space_group_name_H-M_alt 'P -3 m 1'
_space_group_IT_number 164
_space_group_name_Hall '-P 3 2"'
loop_
_atom_site_label
_atom_site_type_symbol
_atom_site_fract_x
_atom_site_fract_y
_atom_site_fract_z
Li1 Li 0.0000 0.0000 0.0000
Pm1 Pm 0.0000 0.0000 0.5000
Si1 Si 0.3333 0.6667 0.2169
Au1 Au 0.3333 0.6667 0.8129
```

Results
- spin magnetization (Bohr magnetons per cell) = 0.00
- formation energy from raw total energies (kJ/mol of formula units) = -355
- calculated volume (Å³ per atom) = 18.5

---

DyZn9Cu2: relaxed, GGA-PBE.

```
data_DyZn9Cu2
_chemical_formula_sum 'Dy4 Zn36 Cu8'
_cell_length_a 10.4856
_cell_length_b 10.4856
_cell_length_c 6.6919
_cell_angle_alpha 90.00
_cell_angle_beta 90.00
_cell_angle_gamma 90.00
_space_group_name_H-M_alt 'I 41/a m d'
_space_group_IT_number 141
loop_
_space_group_symop_operation_xyz
'x,y,z'
'-x,-y,-z'
'-y+1/4,x+3/4,z+1/4'
'y+1/4,-x+3/4,-z+1/4'
'-x+1/2,-y,z+1/2'
'x+1/2,y,-z+1/2'
'y+1/4,-x+1/4,z+3/4'
'-y+1/4,x+1/4,-z+3/4'
'x,-y,-z'
'-x,y,z'
'-y+1/4,-x+1/4,-z+3/4'
'y+1/4,x+1/4,z+3/4'
'-x+1/2,y,-z+1/2'
'x+1/2,-y,z+1/2'
'y+1/4,x+3/4,-z+1/4'
'-y+1/4,-x+3/4,z+1/4'
'x+1/2,y+1/2,z+1/2'
'-x+1/2,-y+1/2,-z+1/2'
'-y+3/4,x+1/4,z+3/4'
'y+3/4,-x+1/4,-z+3/4'
'-x,-y+1/2,z'
'x,y+1/2,-z'
'y+3/4,-x+3/4,z+1/4'
'-y+3/4,x+3/4,-z+1/4'
'x+1/2,-y+1/2,-z+1/2'
'-x+1/2,y+1/2,z+1/2'
'-y+3/4,-x+3/4,-z+1/4'
'y+3/4,x+3/4,z+1/4'
'-x,y+1/2,-z'
'x,-y+1/2,z'
'y+3/4,x+1/4,-z+3/4'
'-y+3/4,-x+1/4,z+3/4'
loop_
_atom_site_label
_atom_site_type_symbol
_atom_site_fract_x
_atom_site_fract_y
_atom_site_fract_z
Dy1 Dy 0.0000 0.2500 0.3750
Zn1 Zn 0.0000 0.2500 0.8750
Zn2 Zn 0.1211 0.0462 0.6807
Cu1 Cu 0.0000 0.0000 0.0000
```

Results
- spin magnetization (Bohr magnetons per cell) = 0.00
- ΔH_f (0 K) (meV/atom) = -226
- offset from the most stable computed form (meV per atom) = 0
- calculated volume (Å³ per atom) = 15.3

---

AcPu4Ir4: relaxed, GGA-PBE.

```
data_AcPu4Ir4
_chemical_formula_sum 'Ac2 Pu8 Ir8'
_cell_length_a 9.1702
_cell_length_b 9.1702
_cell_length_c 5.5068
_cell_angle_alpha 90.00
_cell_angle_beta 90.00
_cell_angle_gamma 90.00
_space_group_name_H-M_alt 'P 42/n'
_space_group_IT_number 86
loop_
_space_group_symop_operation_xyz
'x,y,z'
'-x,-y,-z'
'-y,x+1/2,z+1/2'
'y,-x+1/2,-z+1/2'
'-x+1/2,-y+1/2,z'
'x+1/2,y+1/2,-z'
'y+1/2,-x,z+1/2'
'-y+1/2,x,-z+1/2'
loop_
_atom_site_label
_atom_site_type_symbol
_atom_site_fract_x
_atom_site_fract_y
_atom_site_fract_z
Ac1 Ac 0.2500 0.2500 0.2500
Pu1 Pu 0.0817 0.6466 0.1807
Ir1 Ir 0.0540 0.6132 0.6762
```

Results
- spin magnetization (Bohr magnetons per cell) = 39.39
- ΔH_f (0 K) (meV/atom) = -407
- calculated volume (Å³ per atom) = 25.7

---

Sc2Al3Hg: relaxed, GGA-PBE.

```
data_Sc2Al3Hg
_chemical_formula_sum 'Sc16 Al24 Hg8'
_cell_length_a 6.4503
_cell_length_b 9.0796
_cell_length_c 15.7360
_cell_angle_alpha 90.00
_cell_angle_beta 90.00
_cell_angle_gamma 90.00
_space_group_name_H-M_alt 'F m m m'
_space_group_IT_number 69
_space_group_name_Hall '-F 2 2'
loop_
_atom_site_label
_atom_site_type_symbol
_atom_site_fract_x
_atom_site_fract_y
_atom_site_fract_z
Sc1 Sc 0.2463 0.0000 0.0000
Sc2 Sc 0.2500 0.2500 0.2500
Al1 Al 0.0000 0.0000 0.1647
Al2 Al 0.0000 0.2483 0.0824
Hg1 Hg 0.0000 0.0000 0.3329
```

Results
- spin magnetization (Bohr magnetons per cell) = 0.00
- ΔH_f (0 K) (meV/atom) = -416
- calculated volume (Å³ per atom) = 19.2

---

LaP4Ru4: relaxed, GGA-PBE.

```
data_LaP4Ru4
_chemical_formula_sum 'La2 P8 Ru8'
_cell_length_a 5.9792
_cell_length_b 5.9792
_cell_length_c 7.8184
_cell_angle_alpha 90.00
_cell_angle_beta 90.00
_cell_angle_gamma 90.00
_space_group_name_H-M_alt 'P 42/n m c'
_space_group_IT_number 137
loop_
_space_group_symop_operation_xyz
'x,y,z'
'-x,-y,-z'
'-y+1/2,x,z+1/2'
'y+1/2,-x,-z+1/2'
'-x+1/2,-y+1/2,z'
'x+1/2,y+1/2,-z'
'y,-x+1/2,z+1/2'
'-y,x+1/2,-z+1/2'
'x+1/2,-y,-z'
'-x+1/2,y,z'
'-y,-x,-z+1/2'
'y,x,z+1/2'
'-x,y+1/2,-z'
'x,-y+1/2,z'
'y+1/2,x+1/2,-z+1/2'
'-y+1/2,-x+1/2,z+1/2'
loop_
_atom_site_label
_atom_site_type_symbol
_atom_site_fract_x
_atom_site_fract_y
_atom_site_fract_z
La1 La 0.2500 0.7500 0.2500
P1 P 0.0435 0.2500 0.0749
Ru1 Ru 0.0206 0.2500 0.3751
```

Results
- spin magnetization (Bohr magnetons per cell) = 0.00
- ΔH_f (0 K) (meV/atom) = -671
- calculated volume (Å³ per atom) = 15.5